A plane-wave DFT calculation with PBE was carried out for Zr2NiAu after structural relaxation.

```
data_Zr2NiAu
_cell_length_a 3.323
_cell_length_b 4.507
_cell_length_c 9.927
_cell_angle_alpha 90.00
_cell_angle_beta 90.00
_cell_angle_gamma 90.00
_space_group_name_H-M_alt 'I m m 2'
_space_group_IT_number 44
_space_group_name_Hall 'I 2 -2'
loop_
_atom_site_label
_atom_site_fract_x
_atom_site_fract_y
_atom_site_fract_z
_atom_site_occupancy
Zr1 0.000 0.000 0.000 1
Zr2 0.000 0.500 0.223 1
Ni1 0.000 0.000 0.498 1
Au1 0.000 0.500 0.783 1
```


A plane-wave DFT calculation with PBE was carried out for Zr2NiAu after structural relaxation.

```
data_Zr2NiAu
_cell_length_a 3.398
_cell_length_b 3.398
_cell_length_c 6.442
_cell_angle_alpha 90.00
_cell_angle_beta 90.00
_cell_angle_gamma 90.00
_space_group_name_H-M_alt 'P 4 m m'
_space_group_IT_number 99
_space_group_name_Hall 'P 4 -2'
loop_
_atom_site_label
_atom_site_fract_x
_atom_site_fract_y
_atom_site_fract_z
_atom_site_occupancy
Zr1 0.000 0.000 0.000 1
Zr2 0.500 0.500 0.311 1
Ni1 0.500 0.500 0.797 1
Au1 0.000 0.000 0.558 1
```


A plane-wave DFT calculation with PBE was carried out for ZrNiAu4 after structural relaxation.

Output
Energy above the lowest structure with this stoichiometry (eV/f.u.): 0.00

```
data_ZrNiAu4
_cell_length_a 5.088
_cell_length_b 8.734
_cell_length_c 5.051
_cell_angle_alpha 90.00
_cell_angle_beta 111.72
_cell_angle_gamma 90.00
_space_group_name_H-M_alt 'C 1 2/m 1'
_space_group_IT_number 12
_space_group_name_Hall '-C 2y'
loop_
_atom_site_label
_atom_site_fract_x
_atom_site_fract_y
_atom_site_fract_z
_atom_site_occupancy
Zr1 0.000 0.000 0.000 1
Ni1 0.000 0.500 0.500 1
Au1 0.000 0.166 0.500 1
Au2 0.000 0.338 0.000 1
```


A plane-wave DFT calculation with PBE was carried out for Zr2NiAu after structural relaxation.

```
data_Zr2NiAu
_cell_length_a 6.574
_cell_length_b 6.574
_cell_length_c 6.574
_cell_angle_alpha 90.00
_cell_angle_beta 90.00
_cell_angle_gamma 90.00
_space_group_name_H-M_alt 'F -4 3 m'
_space_group_IT_number 216
_space_group_name_Hall 'F -4 2 3'
loop_
_atom_site_label
_atom_site_fract_x
_atom_site_fract_y
_atom_site_fract_z
_atom_site_occupancy
Zr1 0.000 0.000 0.000 1
Zr2 0.250 0.250 0.250 1
Ni1 0.000 0.000 0.500 1
Au1 0.250 0.250 0.750 1
```


A plane-wave DFT calculation with PBE was carried out for Zr2NiAu after structural relaxation.

```
data_Zr2NiAu
_cell_length_a 4.024
_cell_length_b 4.024
_cell_length_c 9.059
_cell_angle_alpha 90.00
_cell_angle_beta 90.00
_cell_angle_gamma 90.00
_space_group_name_H-M_alt 'I -4 m 2'
_space_group_IT_number 119
_space_group_name_Hall 'I -4 -2'
loop_
_atom_site_label
_atom_site_fract_x
_atom_site_fract_y
_atom_site_fract_z
_atom_site_occupancy
Zr1 0.000 0.000 0.000 1
Zr2 0.000 0.500 0.250 1
Ni1 0.000 0.000 0.500 1
Au1 0.000 0.500 0.750 1
```


A plane-wave DFT calculation with PBE was carried out for Zr4NiAu after structural relaxation.

Output
Energy above the lowest structure with this stoichiometry (eV/f.u.): 0.00

```
data_Zr4NiAu
_cell_length_a 6.673
_cell_length_b 6.673
_cell_length_c 5.424
_cell_angle_alpha 90.00
_cell_angle_beta 90.00
_cell_angle_gamma 90.00
_space_group_name_H-M_alt 'P 4/m c c'
_space_group_IT_number 124
_space_group_name_Hall '-P 4 2c'
loop_
_atom_site_label
_atom_site_fract_x
_atom_site_fract_y
_atom_site_fract_z
_atom_site_occupancy
Zr1 0.148 0.329 0.000 1
Ni1 0.000 0.000 0.250 1
Au1 0.500 0.500 0.250 1
```


A plane-wave DFT calculation with PBE was carried out for Zr2NiAu after structural relaxation.

```
data_Zr2NiAu
_cell_length_a 5.866
_cell_length_b 7.746
_cell_length_c 3.245
_cell_angle_alpha 90.00
_cell_angle_beta 90.13
_cell_angle_gamma 90.00
_space_group_name_H-M_alt 'C 1 2/m 1'
_space_group_IT_number 12
_space_group_name_Hall '-C 2y'
loop_
_atom_site_label
_atom_site_fract_x
_atom_site_fract_y
_atom_site_fract_z
_atom_site_occupancy
Zr1 0.250 0.250 0.000 1
Ni1 0.000 0.000 0.500 1
Au1 0.000 0.500 0.500 1
```


A plane-wave DFT calculation with PBE was carried out for Zr6Ni6Au after structural relaxation.

```
data_Zr6Ni6Au
_cell_length_a 5.159
_cell_length_b 9.086
_cell_length_c 9.285
_cell_angle_alpha 90.00
_cell_angle_beta 90.00
_cell_angle_gamma 90.00
_space_group_name_H-M_alt 'I m m m'
_space_group_IT_number 71
_space_group_name_Hall '-I 2 2'
loop_
_atom_site_label
_atom_site_fract_x
_atom_site_fract_y
_atom_site_fract_z
_atom_site_occupancy
Zr1 0.000 0.000 0.170 1
Zr2 0.000 0.327 0.000 1
Zr3 0.000 0.341 0.500 1
Ni1 0.000 0.500 0.241 1
Ni2 0.250 0.250 0.250 1
Au1 0.000 0.000 0.500 1
```


A plane-wave DFT calculation with PBE was carried out for Zr2NiAu after structural relaxation.

```
data_Zr2NiAu
_cell_length_a 6.097
_cell_length_b 6.334
_cell_length_c 7.633
_cell_angle_alpha 90.00
_cell_angle_beta 90.00
_cell_angle_gamma 90.00
_space_group_name_H-M_alt 'F m m m'
_space_group_IT_number 69
_space_group_name_Hall '-F 2 2'
loop_
_atom_site_label
_atom_site_fract_x
_atom_site_fract_y
_atom_site_fract_z
_atom_site_occupancy
Zr1 0.250 0.250 0.250 1
Ni1 0.000 0.000 0.000 1
Au1 0.000 0.000 0.500 1
```


A plane-wave DFT calculation with PBE was carried out for Zr2NiAu after structural relaxation.

```
data_Zr2NiAu
_cell_length_a 3.414
_cell_length_b 4.265
_cell_length_c 5.466
_cell_angle_alpha 90.00
_cell_angle_beta 107.69
_cell_angle_gamma 90.00
_space_group_name_H-M_alt 'P 1 m 1'
_space_group_IT_number 6
_space_group_name_Hall 'P -2y'
loop_
_atom_site_label
_atom_site_fract_x
_atom_site_fract_y
_atom_site_fract_z
_atom_site_occupancy
Zr1 0.000 0.000 0.000 1
Zr2 0.290 0.500 0.588 1
Ni1 0.737 0.000 0.479 1
Au1 0.572 0.500 0.147 1
```


A plane-wave DFT calculation with PBE was carried out for ZrNi5Au after structural relaxation.

```
data_ZrNi5Au
_cell_length_a 7.883
_cell_length_b 4.720
_cell_length_c 10.123
_cell_angle_alpha 90.00
_cell_angle_beta 90.00
_cell_angle_gamma 90.00
_space_group_name_H-M_alt 'P n m a'
_space_group_IT_number 62
_space_group_name_Hall '-P 2ac 2n'
loop_
_atom_site_label
_atom_site_fract_x
_atom_site_fract_y
_atom_site_fract_z
_atom_site_occupancy
Zr1 0.247 0.250 0.062 1
Ni1 0.043 0.750 0.102 1
Ni2 0.068 0.002 0.311 1
Ni3 0.084 0.250 0.517 1
Ni4 0.190 0.250 0.738 1
Au1 0.138 0.750 0.862 1
```


A plane-wave DFT calculation with PBE was carried out for ZrNiAu4 after structural relaxation.

Output
Energy above the lowest structure with this stoichiometry (eV/f.u.): 1.65

```
data_ZrNiAu4
_cell_length_a 7.650
_cell_length_b 7.650
_cell_length_c 7.650
_cell_angle_alpha 90.00
_cell_angle_beta 90.00
_cell_angle_gamma 90.00
_space_group_name_H-M_alt 'F -4 3 m'
_space_group_IT_number 216
_space_group_name_Hall 'F -4 2 3'
loop_
_atom_site_label
_atom_site_fract_x
_atom_site_fract_y
_atom_site_fract_z
_atom_site_occupancy
Zr1 0.000 0.000 0.000 1
Ni1 0.250 0.250 0.250 1
Au1 0.125 0.125 0.625 1
```


Table of calculated density (g/cm3), in record order: 9.79 9.78 14.93 10.24 9.92 8.53 9.87 8.37 9.87 9.59 10.26 13.91
Table of ΔE_f (eV per atom), in record order: -0.293 -0.388 -0.247 -0.149 -0.265 -0.329 -0.325 -0.313 -0.340 -0.421 -0.232 0.029